AlPIr2 | GGA-PBEsol | relaxed

E above lowest polymorph (meV per atom): 254.7
Crystal system: tetragonal
ΔE_f (eV per atom): -0.19

```
AlPIr2
1.0
2.844 0.000 0.000
0.000 2.844 0.000
0.000 0.000 7.225
Al P Ir
1 1 2
Cartesian
0.000 0.000 0.000 Al
1.422 1.422 4.905 P
0.000 0.000 3.566 Ir
1.422 1.422 1.521 Ir
```

CdWS2F | GGA-PBEsol | relaxed

Crystal system: tetragonal
Formation energy without anion corrections (meV per atom): -559.1

```
CdWS2F
1.0
4.677 0.000 0.000
0.000 4.677 0.000
0.000 0.000 4.050
Cd W S F
1 1 2 1
Cartesian
0.000 0.000 0.000 Cd
2.339 2.339 2.025 W
0.000 2.339 2.025 S
2.339 0.000 2.025 S
2.339 2.339 0.000 F
```

BeIn2Si | GGA-PBEsol | relaxed

E above lowest polymorph (meV per atom): 0.0
Crystal system: orthorhombic
Formation energy without anion corrections (meV per atom): 334.0

```
BeIn2Si
1.0
2.925 0.000 0.000
0.000 3.458 0.000
0.000 0.000 7.472
Be In Si
1 2 1
Cartesian
0.000 0.000 0.000 Be
0.000 0.000 4.574 In
1.462 1.729 2.028 In
1.462 1.729 6.663 Si
```

CaGaRhS2 | GGA-PBEsol | relaxed

Crystal system: tetragonal
Formation energy without anion corrections (meV per atom): -493.5

```
CaGaRhS2
1.0
4.839 0.000 0.000
0.000 4.839 0.000
0.000 0.000 4.481
Ca Ga Rh S
1 1 1 2
Cartesian
0.000 0.000 0.000 Ca
2.420 2.420 0.000 Ga
2.420 2.420 2.240 Rh
0.000 2.420 2.240 S
2.420 0.000 2.240 S
```

AlSiTc | GGA-PBEsol | relaxed

E above lowest polymorph (meV per atom): 612.8
Crystal system: cubic
Formation energy without anion corrections (meV per atom): -56.2

```
AlSiTc
1.0
5.680 0.000 0.000
0.000 5.680 0.000
0.000 0.000 5.680
Al Si Tc
4 4 4
Cartesian
0.000 0.000 0.000 Al
0.000 2.840 2.840 Al
2.840 0.000 2.840 Al
2.840 2.840 0.000 Al
1.420 1.420 4.260 Si
1.420 4.260 1.420 Si
4.260 1.420 1.420 Si
4.260 4.260 4.260 Si
0.000 0.000 2.840 Tc
0.000 2.840 0.000 Tc
2.840 0.000 0.000 Tc
2.840 2.840 2.840 Tc
```

Dy3Zr | GGA-PBEsol | relaxed

E above lowest polymorph (meV per atom): 2.5
Crystal system: cubic
ΔE_f (eV per atom): 0.09

```
Dy3Zr
1.0
4.767 0.000 0.000
0.000 4.767 0.000
0.000 0.000 4.767
Dy Zr
3 1
Cartesian
0.000 0.000 2.383 Dy
0.000 2.383 0.000 Dy
2.383 0.000 0.000 Dy
2.383 2.383 2.383 Zr
```

TaTeW | GGA-PBEsol | relaxed

E above lowest polymorph (meV per atom): 773.7
Crystal system: cubic
Formation energy without anion corrections (meV per atom): 1247.7

```
TaTeW
1.0
6.266 0.000 0.000
0.000 6.266 0.000
0.000 0.000 6.266
Ta Te W
4 4 4
Cartesian
0.000 0.000 0.000 Ta
0.000 3.133 3.133 Ta
3.133 0.000 3.133 Ta
3.133 3.133 0.000 Ta
1.566 1.566 4.699 Te
1.566 4.699 1.566 Te
4.699 1.566 1.566 Te
4.699 4.699 4.699 Te
0.000 0.000 3.133 W
0.000 3.133 0.000 W
3.133 0.000 0.000 W
3.133 3.133 3.133 W
```

MgScBi3 | GGA-PBEsol | relaxed

Crystal system: cubic
ΔE_f (eV per atom): 0.17

```
MgScBi3
1.0
5.513 0.000 0.000
0.000 5.513 0.000
0.000 0.000 5.513
Mg Sc Bi
1 1 3
Cartesian
0.000 0.000 0.000 Mg
2.756 2.756 2.756 Sc
0.000 2.756 2.756 Bi
2.756 0.000 2.756 Bi
2.756 2.756 0.000 Bi
```

BaBeI2 | GGA-PBEsol | relaxed

E above lowest polymorph (meV per atom): 0.0
Crystal system: cubic
Formation energy without anion corrections (meV per atom): -477.8

```
BaBeI2
1.0
8.195 0.000 0.000
0.000 8.195 0.000
0.000 0.000 8.195
Ba Be I
4 4 8
Cartesian
0.000 0.000 0.000 Ba
0.000 4.098 4.098 Ba
4.098 0.000 4.098 Ba
4.098 4.098 0.000 Ba
0.000 0.000 4.098 Be
0.000 4.098 0.000 Be
4.098 0.000 0.000 Be
4.098 4.098 4.098 Be
2.049 2.049 2.049 I
2.049 2.049 6.147 I
2.049 6.147 2.049 I
2.049 6.147 6.147 I
6.147 2.049 2.049 I
6.147 2.049 6.147 I
6.147 6.147 2.049 I
6.147 6.147 6.147 I
```

Li2NiO3 | GGA-PBEsol | relaxed

Crystal system: monoclinic
Formation energy without anion corrections (meV per atom): -1496.9

```
Li2NiO3
1.0
2.422 -4.190 0.000
2.422 4.190 0.000
-1.629 0.000 4.649
Li Ni O
4 2 6
Cartesian
0.000 0.000 0.000 Li
1.608 2.828 2.325 Li
1.608 0.000 2.325 Li
1.608 -2.828 2.325 Li
2.422 1.398 0.000 Ni
2.422 -1.398 0.000 Ni
0.863 1.496 1.034 O
0.099 0.000 3.602 O
0.863 -1.496 1.034 O
2.353 1.496 3.615 O
3.117 0.000 1.047 O
2.353 -1.496 3.615 O
```

Be2PbO | GGA-PBEsol | relaxed

Crystal system: tetragonal
Formation energy without anion corrections (meV per atom): -683.3

```
Be2PbO
1.0
5.055 0.000 0.000
0.000 5.055 0.000
0.000 0.000 8.369
Be Pb O
8 4 4
Cartesian
0.417 1.264 1.046 Be
1.264 2.944 3.138 Be
1.264 4.638 7.323 Be
2.111 1.264 5.231 Be
2.944 3.791 5.231 Be
3.791 0.417 7.323 Be
3.791 2.111 3.138 Be
4.638 3.791 1.046 Be
0.000 0.000 4.185 Pb
0.000 2.527 6.277 Pb
2.527 0.000 2.092 Pb
2.527 2.527 0.000 Pb
0.000 0.000 0.000 O
0.000 2.527 2.092 O
2.527 0.000 6.277 O
2.527 2.527 4.185 O
```

ZnNCl2 | GGA-PBEsol | relaxed

Crystal system: cubic
Formation energy without anion corrections (meV per atom): 921.9

```
ZnNCl2
1.0
6.338 0.000 0.000
0.000 6.338 0.000
0.000 0.000 6.338
Zn N Cl
4 4 8
Cartesian
0.000 0.000 0.000 Zn
0.000 3.169 3.169 Zn
3.169 0.000 3.169 Zn
3.169 3.169 0.000 Zn
0.000 0.000 3.169 N
0.000 3.169 0.000 N
3.169 0.000 0.000 N
3.169 3.169 3.169 N
1.584 1.584 1.584 Cl
1.584 1.584 4.753 Cl
1.584 4.753 1.584 Cl
1.584 4.753 4.753 Cl
4.753 1.584 1.584 Cl
4.753 1.584 4.753 Cl
4.753 4.753 1.584 Cl
4.753 4.753 4.753 Cl
```

CoH2Se | GGA-PBEsol | relaxed

E above lowest polymorph (meV per atom): 0.0
Crystal system: tetragonal

```
CoH2Se
1.0
3.409 0.000 0.000
0.000 3.409 0.000
0.000 0.000 12.256
Co H Se
4 8 4
Cartesian
0.000 0.852 4.596 Co
0.000 2.557 7.660 Co
1.704 0.852 1.532 Co
1.704 2.557 10.724 Co
0.000 0.000 6.128 H
0.000 1.704 6.128 H
0.852 0.852 3.064 H
0.852 2.557 9.192 H
1.704 0.000 0.000 H
1.704 1.704 0.000 H
2.557 0.852 3.064 H
2.557 2.557 9.192 H
0.000 0.852 10.724 Se
0.000 2.557 1.532 Se
1.704 0.852 7.660 Se
1.704 2.557 4.596 Se
```

ScTl2In | GGA-PBEsol | relaxed

Crystal system: tetragonal
ΔE_f (eV per atom): -0.17

```
ScTl2In
1.0
4.415 0.000 0.000
0.000 4.415 0.000
0.000 0.000 9.640
Sc Tl In
2 4 2
Cartesian
0.000 0.000 0.000 Sc
2.208 2.208 4.820 Sc
0.000 2.208 2.410 Tl
0.000 2.208 7.230 Tl
2.208 0.000 2.410 Tl
2.208 0.000 7.230 Tl
0.000 0.000 4.820 In
2.208 2.208 0.000 In
```

BaCo2Si | GGA-PBEsol | relaxed

Crystal system: cubic
Formation energy without anion corrections (meV per atom): 920.4

```
BaCo2Si
1.0
6.667 0.000 0.000
0.000 6.667 0.000
0.000 0.000 6.667
Ba Co Si
4 8 4
Cartesian
0.000 0.000 0.000 Ba
0.000 3.333 3.333 Ba
3.333 0.000 3.333 Ba
3.333 3.333 0.000 Ba
0.000 0.000 3.333 Co
0.000 3.333 0.000 Co
1.667 1.667 1.667 Co
1.667 5.000 5.000 Co
3.333 0.000 0.000 Co
3.333 3.333 3.333 Co
5.000 1.667 5.000 Co
5.000 5.000 1.667 Co
1.667 1.667 5.000 Si
1.667 5.000 1.667 Si
5.000 1.667 1.667 Si
5.000 5.000 5.000 Si
```

InBiIr3 | GGA-PBEsol | relaxed

Crystal system: cubic
ΔE_f (eV per atom): 1.80

```
InBiIr3
1.0
4.821 0.000 0.000
0.000 4.821 0.000
0.000 0.000 4.821
In Bi Ir
1 1 3
Cartesian
0.000 0.000 0.000 In
2.411 2.411 2.411 Bi
0.000 0.000 2.411 Ir
0.000 2.411 0.000 Ir
2.411 0.000 0.000 Ir
```

OsPdC3 | GGA-PBEsol | relaxed

E above lowest polymorph (meV per atom): 0.0
Crystal system: cubic
ΔE_f (eV per atom): 1.93

```
OsPdC3
1.0
3.942 0.000 0.000
0.000 3.942 0.000
0.000 0.000 3.942
Os Pd C
1 1 3
Cartesian
0.000 0.000 0.000 Os
1.971 1.971 1.971 Pd
0.000 0.000 1.971 C
0.000 1.971 0.000 C
1.971 0.000 0.000 C
```

Mg2BiSb | GGA-PBEsol | relaxed

Crystal system: cubic
Formation energy without anion corrections (meV per atom): -110.1

```
Mg2BiSb
1.0
7.343 0.000 0.000
0.000 7.343 0.000
0.000 0.000 7.343
Mg Bi Sb
8 4 4
Cartesian
1.836 1.836 1.836 Mg
1.836 1.836 5.507 Mg
1.836 5.507 1.836 Mg
1.836 5.507 5.507 Mg
5.507 1.836 1.836 Mg
5.507 1.836 5.507 Mg
5.507 5.507 1.836 Mg
5.507 5.507 5.507 Mg
0.000 0.000 0.000 Bi
0.000 3.672 3.672 Bi
3.672 0.000 3.672 Bi
3.672 3.672 0.000 Bi
0.000 0.000 3.672 Sb
0.000 3.672 0.000 Sb
3.672 0.000 0.000 Sb
3.672 3.672 3.672 Sb
```

InSb2WI | GGA-PBEsol | relaxed

Crystal system: tetragonal
Formation energy without anion corrections (meV per atom): 572.2

```
InSb2WI
1.0
5.142 0.000 0.000
0.000 5.142 0.000
0.000 0.000 5.911
In Sb W I
1 2 1 1
Cartesian
0.000 0.000 0.000 In
0.000 2.571 2.955 Sb
2.571 0.000 2.955 Sb
2.571 2.571 2.955 W
2.571 2.571 0.000 I
```

Ca5Al | GGA-PBEsol | relaxed

E above lowest polymorph (meV per atom): 22.5
Crystal system: orthorhombic
ΔE_f (eV per atom): -0.02

```
Ca5Al
1.0
4.601 0.000 0.000
0.000 16.518 0.000
0.000 0.000 5.542
Ca Al
10 2
Cartesian
0.000 0.000 0.000 Ca
0.000 2.411 2.771 Ca
0.000 5.564 0.000 Ca
0.000 10.954 0.000 Ca
0.000 14.106 2.771 Ca
2.301 2.695 0.000 Ca
2.301 5.848 2.771 Ca
2.301 8.259 0.000 Ca
2.301 10.670 2.771 Ca
2.301 13.823 0.000 Ca
0.000 8.259 2.771 Al
2.301 0.000 2.771 Al
```

Number 1: total DFT energy (no corrections) -0.557 Ry per atom, M_tot 0.0 μB per cell. Number 2: total DFT energy (no corrections) -0.419 Ry per atom, M_tot 0.0 μB per cell. Number 3: total DFT energy (no corrections) -0.264 Ry per atom, M_tot 0.0 μB per cell. Number 4: total DFT energy (no corrections) -0.365 Ry per atom, M_tot 0.0 μB per cell. Number 5: total DFT energy (no corrections) -0.521 Ry per atom, M_tot 0.0 μB per cell. Number 6: total DFT energy (no corrections) -0.435 Ry per atom, M_tot 0.0 μB per cell. Number 7: total DFT energy (no corrections) -0.640 Ry per atom, M_tot 0.0 μB per cell. Number 8: total DFT energy (no corrections) -0.299 Ry per atom, M_tot 0.0 μB per cell. Number 9: total DFT energy (no corrections) -0.213 Ry per atom, M_tot 0.0 μB per cell. Number 10: total DFT energy (no corrections) -0.427 Ry per atom, M_tot 0.0 μB per cell. Number 11: total DFT energy (no corrections) -0.367 Ry per atom, M_tot 0.0 μB per cell. Number 12: total DFT energy (no corrections) -0.192 Ry per atom, M_tot 12.0 μB per cell. Number 13: total DFT energy (no corrections) -0.306 Ry per atom, M_tot 0.0 μB per cell. Number 14: total DFT energy (no corrections) -0.285 Ry per atom, M_tot 0.0 μB per cell. Number 15: total DFT energy (no corrections) -0.362 Ry per atom, M_tot 14.8 μB per cell. Number 16: total DFT energy (no corrections) -0.408 Ry per atom, M_tot 0.0 μB per cell. Number 17: total DFT energy (no corrections) -0.550 Ry per atom, M_tot 0.0 μB per cell. Number 18: total DFT energy (no corrections) -0.234 Ry per atom, M_tot 0.0 μB per cell. Number 19: total DFT energy (no corrections) -0.365 Ry per atom, M_tot 0.5 μB per cell. Number 20: total DFT energy (no corrections) -0.182 Ry per atom, M_tot 0.0 μB per cell.